(1)
# CaSc2Cu2 (PBE, relaxed)
data_CaSc2Cu2
_symmetry_space_group_name_H-M 'P 1'
_symmetry_Int_Tables_number 1
_symmetry_space_group_name_Hall 'P 1'
_cell_length_a 7.8327
_cell_length_b 7.8327
_cell_length_c 3.4313
_cell_angle_alpha 90.00
_cell_angle_beta 90.00
_cell_angle_gamma 90.00
loop_
_atom_site_label
_atom_site_fract_x
_atom_site_fract_y
_atom_site_fract_z
_atom_site_occupancy
Ca1 0.0000 0.0000 0.0000 1
Ca2 0.5000 0.5000 0.0000 1
Sc1 0.1523 0.3477 0.5000 1
Sc2 0.3477 0.8477 0.5000 1
Sc3 0.6523 0.1523 0.5000 1
Sc4 0.8477 0.6523 0.5000 1
Cu1 0.1258 0.6258 0.0000 1
Cu2 0.3742 0.1258 0.0000 1
Cu3 0.6258 0.8742 0.0000 1
Cu4 0.8742 0.3742 0.0000 1
# D(E_F) ... 13.7 states/eV/cell
# Total energy ... -46.51 eV per cell
# Calculated density ... 4.06 g cm⁻³
# Distance to the lowest polymorph of the same formula ... 0 meV per atom

(2)
# CaSc2Cu2 (PBE, relaxed)
data_CaSc2Cu2
_symmetry_space_group_name_H-M 'P 1'
_symmetry_Int_Tables_number 1
_symmetry_space_group_name_Hall 'P 1'
_cell_length_a 6.1881
_cell_length_b 6.1881
_cell_length_c 6.1881
_cell_angle_alpha 134.37
_cell_angle_beta 134.37
_cell_angle_gamma 66.52
loop_
_atom_site_label
_atom_site_fract_x
_atom_site_fract_y
_atom_site_fract_z
_atom_site_occupancy
Ca1 0.0000 0.0000 0.0000 1
Sc1 0.3472 0.3472 0.0000 1
Sc2 0.6528 0.6528 0.0000 1
Cu1 0.2500 0.7500 0.5000 1
Cu2 0.7500 0.2500 0.5000 1
# D(E_F) ... 6.9 states/eV/cell
# Total energy ... -22.20 eV per cell
# Calculated density ... 3.58 g cm⁻³
# Distance to the lowest polymorph of the same formula ... 211 meV per atom

(3)
# Ca2ScCu (PBE, relaxed)
data_Ca2ScCu
_symmetry_space_group_name_H-M 'P 1'
_symmetry_Int_Tables_number 1
_symmetry_space_group_name_Hall 'P 1'
_cell_length_a 5.9942
_cell_length_b 5.9942
_cell_length_c 5.9942
_cell_angle_alpha 134.85
_cell_angle_beta 134.85
_cell_angle_gamma 65.76
loop_
_atom_site_label
_atom_site_fract_x
_atom_site_fract_y
_atom_site_fract_z
_atom_site_occupancy
Ca1 0.2500 0.7500 0.5000 1
Ca2 0.7500 0.2500 0.5000 1
Sc1 0.0000 0.0000 0.0000 1
Cu1 0.5000 0.5000 0.0000 1
# D(E_F) ... 6.2 states/eV/cell
# Total energy ... -13.23 eV per cell
# Calculated density ... 2.94 g cm⁻³
# Distance to the lowest polymorph of the same formula ... 322 meV per atom

(4)
# CaSc2Cu2 (PBE, relaxed)
data_CaSc2Cu2
_symmetry_space_group_name_H-M 'P 1'
_symmetry_Int_Tables_number 1
_symmetry_space_group_name_Hall 'P 1'
_cell_length_a 8.0442
_cell_length_b 8.0442
_cell_length_c 3.0954
_cell_angle_alpha 90.00
_cell_angle_beta 90.00
_cell_angle_gamma 90.00
loop_
_atom_site_label
_atom_site_fract_x
_atom_site_fract_y
_atom_site_fract_z
_atom_site_occupancy
Ca1 0.0000 0.0000 0.0000 1
Ca2 0.5000 0.5000 0.0000 1
Sc1 0.1358 0.3642 0.0000 1
Sc2 0.3642 0.8642 0.0000 1
Sc3 0.6358 0.1358 0.0000 1
Sc4 0.8642 0.6358 0.0000 1
Cu1 0.1567 0.6567 0.5000 1
Cu2 0.3433 0.1567 0.5000 1
Cu3 0.6567 0.8433 0.5000 1
Cu4 0.8433 0.3433 0.5000 1
# D(E_F) ... 5.7 states/eV/cell
# Total energy ... -46.41 eV per cell
# Calculated density ... 4.26 g cm⁻³
# Distance to the lowest polymorph of the same formula ... 10 meV per atom